8
Lattice="-4.848 0.885 4.834 -4.106 -4.462 -3.301 -3.409 -3.842 2.214" Properties=species:S:1:pos:R:3 comment="PBE LiNbAl2, relaxed" magnetic_moment_mub_per_fu=0.00 delta_e_f_mev_per_atom=162 rho_g_cm3=3.9 pbc="T T T"
Al -6.058 -4.379 2.119
Al -4.195 -3.607 -0.735
Al -4.225 -0.996 2.992
Al -10.247 -5.854 3.118
Nb 0.000 0.000 0.000
Nb -6.367 -2.373 3.907
Li -5.996 -5.046 -0.160
Li -4.477 -1.788 0.767